A plane-wave DFT calculation with PBE was carried out for a relaxed structure of Ac2TlBi.

The formation energy comes out at -0.581 eV per atom. As for the energy relative to the lowest polymorph listed for this composition: 74 meV per atom.

It has space group P4/mmm (No. 123), with a = 4.319 Å, b = 4.319 Å, c = 7.678 Å, α = 90.00°, β = 90.00° and γ = 90.00°. Symmetry generates all atoms from Ac at (0.000, 0.000, 0.244), Tl at (0.500, 0.500, 0.500) and Bi at (0.500, 0.500, 0.000).


A plane-wave DFT calculation with PBE was carried out for a relaxed structure of AcTlBi3.

The formation energy comes out at -0.285 eV per atom.

It has space group P2_1/m (No. 11), with a = 5.504 Å, b = 6.576 Å, c = 10.259 Å, α = 90.00°, β = 105.19° and γ = 90.00°. Symmetry generates all atoms from Ac at (0.174, 0.250, 0.347), Tl at (0.373, 0.250, 0.756), Bi at (0.000, 0.000, 0.000), Bi at (0.224, 0.750, 0.444) and Bi at (0.445, 0.750, 0.890).


A plane-wave DFT calculation with PBE was carried out for a relaxed structure of Ac4TlBi5.

The formation energy comes out at -0.696 eV per atom.

It has space group Immm (No. 71), with a = 4.721 Å, b = 12.115 Å, c = 13.292 Å, α = 90.00°, β = 90.00° and γ = 90.00°. Symmetry generates all atoms from Ac at (0.000, 0.000, 0.246), Ac at (0.000, 0.291, 0.500), Tl at (0.000, 0.000, 0.500), Bi at (0.000, 0.000, 0.000) and Bi at (0.000, 0.322, 0.165).


A plane-wave DFT calculation with PBE was carried out for a relaxed structure of AcTl2Bi5.

The formation energy comes out at -0.173 eV per atom.

It has space group I4/mmm (No. 139), with a = 6.236 Å, b = 6.236 Å, c = 13.959 Å, α = 90.00°, β = 90.00° and γ = 90.00°. Symmetry generates all atoms from Ac at (0.000, 0.000, 0.000), Tl at (0.000, 0.000, 0.258), Bi at (0.000, 0.000, 0.500) and Bi at (0.000, 0.500, 0.119).


A plane-wave DFT calculation with PBE was carried out for a relaxed structure of AcTmTlBi.

The formation energy comes out at -0.389 eV per atom.

It has space group F-43m (No. 216), with a = 8.003 Å, b = 8.003 Å, c = 8.003 Å, α = 90.00°, β = 90.00° and γ = 90.00°. Symmetry generates all atoms from Ac at (0.000, 0.000, 0.000), Tm at (0.000, 0.000, 0.500), Tl at (0.250, 0.250, 0.750) and Bi at (0.250, 0.250, 0.250).


A plane-wave DFT calculation with PBE was carried out for a relaxed structure of AcTl2ZnBi2.

The formation energy comes out at -0.282 eV per atom.

It has space group Pmc2_1 (No. 26), with a = 4.755 Å, b = 10.032 Å, c = 8.249 Å, α = 90.00°, β = 90.00° and γ = 90.00°. Symmetry generates all atoms from Ac at (0.000, 0.066, 0.000), Tl at (0.000, 0.382, 0.295), Tl at (0.500, 0.384, 0.970), Zn at (0.500, 0.138, 0.680), Bi at (0.000, 0.295, 0.679) and Bi at (0.500, 0.129, 0.303).


A plane-wave DFT calculation with PBE was carried out for a relaxed structure of AcTm3Bi2.

The formation energy comes out at -0.449 eV per atom.

It has space group C2/m (No. 12), with a = 19.236 Å, b = 4.432 Å, c = 10.028 Å, α = 90.00°, β = 113.55° and γ = 90.00°. Symmetry generates all atoms from Ac at (0.116, 0.000, 0.137), Tm at (0.056, 0.000, 0.670), Tm at (0.124, 0.500, 0.479), Tm at (0.190, 0.500, 0.884), Bi at (0.019, 0.500, 0.847) and Bi at (0.238, 0.000, 0.693).


A plane-wave DFT calculation with PBE was carried out for a relaxed structure of AcTmBi2.

The formation energy comes out at -0.625 eV per atom. As for the energy relative to the lowest polymorph listed for this composition: 249 meV per atom.

It has space group P4/mmm (No. 123), with a = 4.226 Å, b = 4.226 Å, c = 7.213 Å, α = 90.00°, β = 90.00° and γ = 90.00°. Symmetry generates all atoms from Ac at (0.000, 0.000, 0.000), Tm at (0.000, 0.000, 0.500) and Bi at (0.500, 0.500, 0.270).


A plane-wave DFT calculation with PBE was carried out for a relaxed structure of AcTmBi2.

The formation energy comes out at -0.750 eV per atom. As for the energy relative to the lowest polymorph listed for this composition: 124 meV per atom.

It has space group R3m (No. 160, hexagonal axes), with a = 4.6083 Å, b = 4.6083 Å, c = 23.9217 Å, α = 90.00°, β = 90.00° and γ = 120.00°. Symmetry generates all atoms from Ac at (0.0000, 0.0000, 0.0000), Tm at (0.0000, 0.0000, 0.8298), Bi at (0.0000, 0.0000, 0.4212) and Bi at (0.0000, 0.0000, 0.5748).


A plane-wave DFT calculation with PBE was carried out for a relaxed structure of Ac2TmBi3.

The formation energy comes out at -0.899 eV per atom.

It has space group C2/m (No. 12), with a = 8.210 Å, b = 14.224 Å, c = 8.201 Å, α = 90.00°, β = 109.60° and γ = 90.00°. Symmetry generates all atoms from Ac at (0.000, 0.000, 0.000), Ac at (0.000, 0.162, 0.500), Ac at (0.000, 0.500, 0.500), Tm at (0.000, 0.331, 0.000), Bi at (0.228, 0.500, 0.228) and Bi at (0.248, 0.326, 0.766).